Record 1
Material: FeH12C4S4N10
Method: DFT, PBE-GGA
State: relaxed

Magnetic moment in μB per cell: 0.1
Total DFT energy (no corrections) in eV/atom: -6.01

Lattice parameters (Å, degrees): 5.4258 8.0126 8.6571 78.41 83.17 88.43
Space group P-1 (No. 2)
One atom of each set of equivalent atoms:
Fe  0.0000  0.0000  0.0000 (multiplicity 1)
H  0.0144  0.2596  0.5858 (multiplicity 2)
H  0.1779  0.3206  0.2511 (multiplicity 2)
H  0.1941  0.5942  0.4759 (multiplicity 2)
H  0.2354  0.2748  0.9886 (multiplicity 2)
H  0.3513  0.8626  0.4981 (multiplicity 2)
H  0.3713  0.1156  0.1024 (multiplicity 2)
C  0.1109  0.8534  0.7007 (multiplicity 2)
C  0.3142  0.6979  0.1491 (multiplicity 2)
S  0.2501  0.0142  0.7625 (multiplicity 2)
S  0.4911  0.5412  0.2244 (multiplicity 2)
N  0.0690  0.6812  0.5116 (multiplicity 2)
N  0.0910  0.2241  0.2151 (multiplicity 2)
N  0.1932  0.8156  0.0942 (multiplicity 2)
N  0.1984  0.8037  0.5650 (multiplicity 2)
N  0.2005  0.1673  0.0769 (multiplicity 2)

***

Record 2
Material: FeH8C4S4N6
Method: DFT, PBE-GGA
State: relaxed

Magnetic moment in μB per cell: 4.0
Total DFT energy (no corrections) in eV/atom: -6.15

Lattice parameters (Å, degrees): 3.9102 7.8195 10.2415 93.01 98.05 100.77
Space group P-1 (No. 2)
One atom of each set of equivalent atoms:
Fe  0.0000  0.0000  0.0000 (multiplicity 1)
H  0.3707  0.4941  0.7045 (multiplicity 2)
H  0.3714  0.9206  0.2783 (multiplicity 2)
H  0.3919  0.5254  0.8753 (multiplicity 2)
H  0.4846  0.2265  0.6115 (multiplicity 2)
C  0.0700  0.1817  0.2879 (multiplicity 2)
C  0.4952  0.7075  0.1895 (multiplicity 2)
S  0.0450  0.2979  0.4199 (multiplicity 2)
S  0.4248  0.7769  0.0314 (multiplicity 2)
N  0.0866  0.0959  0.1899 (multiplicity 2)
N  0.4047  0.4449  0.7948 (multiplicity 2)
N  0.4539  0.8061  0.2939 (multiplicity 2)

***

> Which formula does entry 1 have?

FeH12C4S4N10